# RbBa2Ca (GGA-PBEsol, optimized geometry)
data_RbBa2Ca
_chemical_formula_sum 'Rb4 Ba8 Ca4'
_cell_length_a 9.7555
_cell_length_b 9.7555
_cell_length_c 9.7555
_cell_angle_alpha 90.00
_cell_angle_beta 90.00
_cell_angle_gamma 90.00
_space_group_name_H-M_alt 'F m -3 m'
_space_group_IT_number 225
_space_group_name_Hall '-F 4 2 3'
loop_
_atom_site_label
_atom_site_type_symbol
_atom_site_fract_x
_atom_site_fract_y
_atom_site_fract_z
_atom_site_occupancy
Rb1 Rb 0.0000 0.0000 0.0000 1
Ba1 Ba 0.2500 0.2500 0.2500 1
Ca1 Ca 0.0000 0.0000 0.5000 1
# Mass density (g/cm³): 2.9
# Calculated volume (Å³ per cell): 928
# Calculated total energy (eV per cell): -27.31
# ΔE_f (meV/atom): 157
# Magnetization (μB/f.u.): 0.00
# D(E_F) (states/eV per atom): 1.771
# Crystal system: cubic